## P
The following is a DFT calculation (PBE-GGA) of YZrGaIr after structural relaxation.

Values from the calculation:
Density of states at the Fermi level ... 2.86 states/eV per cell
Total moment ... 0.0 μB per cell
Calculated density ... 8.7 g cm⁻³

Cell: 3.646 4.373 5.589 Å, 90.00 71.05 90.00°
Positions (direct):
1 Zr 0.681 0.213 0.830
2 Y 0.958 0.713 0.274
3 Ir 0.378 0.213 0.438
4 Ga 0.234 0.712 0.725

---

## Q
The following is a DFT calculation (PBE-GGA) of YZrGaIr after structural relaxation.

Values from the calculation:
Density of states at the Fermi level ... 3.69 states/eV per cell
Total moment ... 0.0 μB per cell
Calculated density ... 8.7 g cm⁻³

Cell: 4.647 4.636 5.268 Å, 116.03 89.90 120.20°
Positions (direct):
1 Y 0.041 0.487 0.761
2 Ir 0.823 0.054 0.107
3 Zr 0.532 0.471 0.233
4 Ga 0.265 0.935 0.433

---

## R
The following is a DFT calculation (PBE-GGA) of YZrGaIr after structural relaxation.

Values from the calculation:
Density of states at the Fermi level ... 4.23 states/eV per cell
Total moment ... 0.0 μB per cell
Calculated density ... 7.9 g cm⁻³

Cell: 4.156 4.156 6.194 Å, 90.00 90.00 120.00°
Positions (direct):
1 Ir 0.000 0.000 0.380
2 Zr 0.667 0.333 0.566
3 Ga 0.000 0.000 0.827
4 Y 0.333 0.667 0.125

---

## S
The following is a DFT calculation (PBE-GGA) of YZrGaIr after structural relaxation.

Values from the calculation:
Density of states at the Fermi level ... 5.88 states/eV per cell
Total moment ... 0.0 μB per cell
Calculated density ... 8.8 g cm⁻³

Cell: 4.250 3.613 10.828 Å, 90.00 90.00 90.00°
Positions (direct):
1 Zr 0.000 0.000 0.382
2 Y 0.500 0.500 0.169
3 Zr 0.000 0.500 0.882
4 Ga 0.000 0.000 0.090
5 Ga 0.000 0.500 0.590
6 Ir 0.500 0.000 0.934
7 Y 0.500 0.000 0.669
8 Ir 0.500 0.500 0.434

---

Which one sits at the bottom of the stability order? R does.

---

## P
The following is a DFT calculation (PBE-GGA) of Zn2Ga2Ir after structural relaxation.

Values from the calculation:
Density of states at the Fermi level ... 5.29 states/eV per cell
Total moment ... 0.0 μB per cell
Calculated density ... 9.8 g cm⁻³

Cell: 6.730 6.730 3.473 Å, 90.00 90.00 90.00°
Positions (direct):
1 Ir 0.000 0.000 0.000
2 Ga 0.173 0.673 0.500
3 Zn 0.632 0.132 0.000
4 Ir 0.500 0.500 0.000
5 Zn 0.368 0.868 0.000
6 Ga 0.827 0.327 0.500
7 Ga 0.327 0.173 0.500
8 Ga 0.673 0.827 0.500
9 Zn 0.132 0.368 0.000
10 Zn 0.868 0.632 0.000

---

## Q
The following is a DFT calculation (PBE-GGA) of Zn2Ga2Ir after structural relaxation.

Values from the calculation:
Density of states at the Fermi level ... 4.05 states/eV per cell
Total moment ... 0.0 μB per cell
Calculated density ... 9.7 g cm⁻³

Cell: 6.575 6.575 3.681 Å, 90.00 90.00 90.00°
Positions (direct):
1 Zn 0.837 0.337 0.500
2 Ga 0.360 0.860 0.000
3 Ir 0.000 0.000 0.000
4 Ga 0.140 0.360 0.000
5 Zn 0.337 0.163 0.500
6 Ir 0.500 0.500 0.000
7 Zn 0.663 0.837 0.500
8 Ga 0.860 0.640 0.000
9 Ga 0.640 0.140 0.000
10 Zn 0.163 0.663 0.500

---

Which one sits at the bottom of the stability order? P does.

---

## P
The following is a DFT calculation (PBE-GGA) of KGa2 after structural relaxation.

Values from the calculation:
Density of states at the Fermi level ... 4.21 states/eV per cell
Total moment ... 0.0 μB per cell
Calculated density ... 3.9 g cm⁻³

Cell: 4.668 6.199 6.199 Å, 83.21 67.88 67.88°
Positions (direct):
1 K 0.416 0.834 0.334
2 K 0.584 0.166 0.666
3 Ga 0.840 0.245 0.076
4 Ga 0.840 0.576 0.745
5 Ga 0.160 0.424 0.255
6 Ga 0.160 0.755 0.924

---

## Q
The following is a DFT calculation (PBE-GGA) of KGa2 after structural relaxation.

Values from the calculation:
Density of states at the Fermi level ... 4.19 states/eV per cell
Total moment ... 0.0 μB per cell
Calculated density ... 4.0 g cm⁻³

Cell: 5.948 5.948 5.948 Å, 60.00 60.00 60.00°
Positions (direct):
1 K 0.250 0.250 0.250
2 Ga 0.625 0.625 0.125
3 Ga 0.625 0.125 0.625
4 K 0.000 0.000 0.000
5 Ga 0.625 0.625 0.625
6 Ga 0.125 0.625 0.625

---

Which one sits at the bottom of the stability order? Q does.

---

## P
The following is a DFT calculation (PBE-GGA) of KGa2 after structural relaxation.

Values from the calculation:
Density of states at the Fermi level ... 3.52 states/eV per cell
Total moment ... 0.0 μB per cell
Calculated density ... 3.5 g cm⁻³

Cell: 4.497 4.497 8.312 Å, 90.00 90.00 90.00°
Positions (direct):
1 Ga 0.250 0.750 0.000
2 Ga 0.750 0.750 0.816
3 Ga 0.750 0.250 0.000
4 K 0.250 0.250 0.661
5 Ga 0.250 0.250 0.184
6 K 0.750 0.750 0.339

---

## Q
The following is a DFT calculation (PBE-GGA) of KGa2 after structural relaxation.

Values from the calculation:
Density of states at the Fermi level ... 1.17 states/eV per cell
Total moment ... 0.0 μB per cell
Calculated density ... 3.7 g cm⁻³

Cell: 3.547 3.547 6.896 Å, 104.90 104.90 90.00°
Positions (direct):
1 Ga 0.700 0.700 0.400
2 Ga 0.300 0.300 0.600
3 K 0.000 0.000 0.000

---

Which one sits at the bottom of the stability order? Q does.

---

## P
The following is a DFT calculation (PBE-GGA) of K2Ga3 after structural relaxation.

Values from the calculation:
Density of states at the Fermi level ... 0.17 states/eV per cell
Total moment ... 0.0 μB per cell
Calculated density ... 3.4 g cm⁻³

Cell: 8.621 8.621 8.621 Å, 137.96 137.96 60.97°
Positions (direct):
1 K 0.610 0.610 0.000
2 Ga 0.000 0.295 0.295
3 Ga 0.140 0.140 0.000
4 Ga 0.705 0.000 0.705
5 Ga 0.860 0.860 0.000
6 K 0.250 0.750 0.500
7 K 0.750 0.250 0.500
8 Ga 0.000 0.705 0.705
9 K 0.390 0.390 0.000
10 Ga 0.295 0.000 0.295

---

## Q
The following is a DFT calculation (PBE-GGA) of K2Ga3 after structural relaxation.

Values from the calculation:
Density of states at the Fermi level ... 4.27 states/eV per cell
Total moment ... 0.0 μB per cell
Calculated density ... 3.0 g cm⁻³

Cell: 7.576 6.861 7.617 Å, 105.20 90.00 123.51°
Positions (direct):
1 K 0.872 0.641 0.832
2 Ga 0.671 0.000 0.750
3 Ga 0.306 0.885 0.560
4 Ga 0.329 0.000 0.250
5 K 0.769 0.641 0.332
6 K 0.231 0.359 0.668
7 Ga 0.421 0.115 0.940
8 Ga 0.579 0.885 0.060
9 K 0.128 0.359 0.168
10 Ga 0.694 0.115 0.440

---

Which one sits at the bottom of the stability order? Q does.

---

## P
The following is a DFT calculation (PBE-GGA) of KLi3Ga after structural relaxation.

Values from the calculation:
Density of states at the Fermi level ... 2.85 states/eV per cell
Total moment ... 0.0 μB per cell
Calculated density ... 1.3 g cm⁻³

Cell: 5.440 5.440 5.440 Å, 90.00 90.00 90.00°
Positions (direct):
1 Li 0.500 0.000 0.000
2 Li 0.000 0.000 0.500
3 K 0.000 0.000 0.000
4 Ga 0.500 0.500 0.500
5 Li 0.000 0.500 0.000

---

## Q
The following is a DFT calculation (PBE-GGA) of KLi3Ga after structural relaxation.

Values from the calculation:
Density of states at the Fermi level ... 4.75 states/eV per cell
Total moment ... 0.0 μB per cell
Calculated density ... 1.5 g cm⁻³

Cell: 5.197 5.197 5.197 Å, 90.00 90.00 90.00°
Positions (direct):
1 Li 0.500 0.000 0.000
2 Li 0.000 0.500 0.000
3 Li 0.000 0.000 0.500
4 Ga 0.000 0.000 0.000
5 K 0.500 0.500 0.500

---

Which one sits at the bottom of the stability order? P does.

---

## P
The following is a DFT calculation (PBE-GGA) of KMg6Ga after structural relaxation.

Values from the calculation:
Density of states at the Fermi level ... 3.90 states/eV per cell
Total moment ... 0.0 μB per cell
Calculated density ... 2.0 g cm⁻³

Cell: 7.334 7.334 5.056 Å, 90.00 90.00 128.80°
Positions (direct):
1 K 0.200 0.800 0.000
2 Mg 0.166 0.302 0.000
3 Mg 0.818 0.667 0.500
4 Mg 0.698 0.834 0.000
5 Ga 0.605 0.395 0.000
6 Mg 0.371 0.629 0.500
7 Mg 0.810 0.190 0.500
8 Mg 0.333 0.182 0.500

---

## Q
The following is a DFT calculation (PBE-GGA) of KMg6Ga after structural relaxation.

Values from the calculation:
Density of states at the Fermi level ... 3.45 states/eV per cell
Total moment ... 0.0 μB per cell
Calculated density ... 2.1 g cm⁻³

Cell: 6.523 6.523 5.051 Å, 90.00 90.00 107.69°
Positions (direct):
1 Mg 0.134 0.866 0.500
2 Ga 0.656 0.344 0.500
3 K 0.879 0.121 0.000
4 Mg 0.318 0.682 0.000
5 Mg 0.202 0.393 0.500
6 Mg 0.607 0.798 0.500
7 Mg 0.402 0.198 0.000
8 Mg 0.802 0.598 0.000

---

Which one sits at the bottom of the stability order? P does.

---

## P
The following is a DFT calculation (PBE-GGA) of KMg14Ga after structural relaxation.

Values from the calculation:
Density of states at the Fermi level ... 7.84 states/eV per cell
Total moment ... 0.0 μB per cell
Calculated density ... 1.9 g cm⁻³

Cell: 6.527 6.527 10.424 Å, 90.00 90.00 120.00°
Positions (direct):
1 Mg 0.505 0.010 0.500
2 Mg 0.663 0.832 0.267
3 Mg 0.168 0.337 0.733
4 Mg 0.990 0.495 0.500
5 Mg 0.168 0.832 0.733
6 Mg 0.667 0.333 0.244
7 Mg 0.496 0.504 0.000
8 K 0.000 0.000 0.000
9 Ga 0.000 0.000 0.500
10 Mg 0.168 0.832 0.267
11 Mg 0.008 0.504 0.000
12 Mg 0.505 0.495 0.500
13 Mg 0.663 0.832 0.733
14 Mg 0.496 0.992 0.000
15 Mg 0.667 0.333 0.756
16 Mg 0.168 0.337 0.267

---

## Q
The following is a DFT calculation (PBE-GGA) of KMg14Ga after structural relaxation.

Values from the calculation:
Density of states at the Fermi level ... 6.61 states/eV per cell
Total moment ... 0.0 μB per cell
Calculated density ... 1.9 g cm⁻³

Cell: 6.474 6.474 10.567 Å, 90.00 90.00 119.92°
Positions (direct):
1 K 0.828 0.172 0.500
2 Mg 0.173 0.336 0.243
3 Mg 0.332 0.668 0.000
4 Mg 0.663 0.337 0.238
5 Mg 0.663 0.337 0.762
6 Mg 0.333 0.181 0.500
7 Mg 0.173 0.336 0.757
8 Mg 0.664 0.827 0.757
9 Mg 0.834 0.166 0.000
10 Mg 0.839 0.670 0.000
11 Mg 0.330 0.161 0.000
12 Ga 0.343 0.657 0.500
13 Mg 0.170 0.830 0.735
14 Mg 0.170 0.830 0.265
15 Mg 0.664 0.827 0.243
16 Mg 0.819 0.667 0.500

---

Which one sits at the bottom of the stability order? P does.

---

## P
The following is a DFT calculation (PBE-GGA) of KMg3Ga after structural relaxation.

Values from the calculation:
Density of states at the Fermi level ... 6.25 states/eV per cell
Total moment ... 0.0 μB per cell
Calculated density ... 1.3 g cm⁻³

Cell: 6.143 6.143 6.143 Å, 90.00 90.00 90.00°
Positions (direct):
1 Mg 0.000 0.000 0.500
2 Ga 0.500 0.500 0.500
3 Mg 0.000 0.500 0.000
4 K 0.000 0.000 0.000
5 Mg 0.500 0.000 0.000

---

## Q
The following is a DFT calculation (PBE-GGA) of KMg3Ga after structural relaxation.

Values from the calculation:
Density of states at the Fermi level ... 2.73 states/eV per cell
Total moment ... 0.0 μB per cell
Calculated density ... 2.0 g cm⁻³

Cell: 5.342 5.342 5.342 Å, 90.00 90.00 90.00°
Positions (direct):
1 Mg 0.500 0.000 0.000
2 K 0.500 0.500 0.500
3 Ga 0.000 0.000 0.000
4 Mg 0.000 0.000 0.500
5 Mg 0.000 0.500 0.000

---

Which one sits at the bottom of the stability order? P does.

---

## P
The following is a DFT calculation (PBE-GGA) of KMg6GaO8 after structural relaxation.

Values from the calculation:
Density of states at the Fermi level ... 1.08 states/eV per cell
Total moment ... 0.0 μB per cell
Calculated density ... 3.7 g cm⁻³

Cell: 4.438 4.438 8.683 Å, 90.00 90.00 90.00°
Positions (direct):
1 O 0.500 0.500 0.235
2 O 0.500 0.000 0.000
3 Ga 0.500 0.500 0.000
4 O 0.000 0.500 0.000
5 Mg 0.500 0.000 0.252
6 O 0.000 0.000 0.276
7 O 0.500 0.500 0.765
8 Mg 0.000 0.000 0.500
9 O 0.000 0.000 0.724
10 Mg 0.500 0.500 0.500
11 O 0.000 0.500 0.500
12 Mg 0.000 0.500 0.748
13 O 0.500 0.000 0.500
14 Mg 0.500 0.000 0.748
15 Mg 0.000 0.500 0.252
16 K 0.000 0.000 0.000

---

## Q
The following is a DFT calculation (PBE-GGA) of KMg6GaO8 after structural relaxation.

Values from the calculation:
Total moment ... 0.0 μB per cell
Calculated density ... 3.7 g cm⁻³

Cell: 4.518 4.518 8.469 Å, 90.00 90.00 90.00°
Positions (direct):
1 Ga 0.000 0.000 0.500
2 K 0.000 0.000 0.000
3 O 0.500 0.500 0.747
4 O 0.000 0.500 0.000
5 Mg 0.500 0.000 0.245
6 Mg 0.000 0.500 0.755
7 O 0.000 0.000 0.715
8 Mg 0.500 0.000 0.755
9 Mg 0.500 0.500 0.000
10 O 0.500 0.000 0.500
11 O 0.000 0.000 0.285
12 O 0.500 0.500 0.253
13 Mg 0.500 0.500 0.500
14 O 0.000 0.500 0.500
15 Mg 0.000 0.500 0.245
16 O 0.500 0.000 0.000

---

Which one sits at the bottom of the stability order? P does.

---

## P
The following is a DFT calculation (PBE-GGA) of KMgGa2Pd after structural relaxation.

Values from the calculation:
Density of states at the Fermi level ... 3.03 states/eV per cell
Total moment ... 0.0 μB per cell
Calculated density ... 3.6 g cm⁻³

Cell: 4.926 5.947 4.926 Å, 90.00 90.00 90.00°
Positions (direct):
1 K 0.000 0.500 0.000
2 Ga 0.000 0.000 0.500
3 Ga 0.500 0.000 0.000
4 Pd 0.000 0.000 0.000
5 Mg 0.500 0.500 0.500

---

## Q
The following is a DFT calculation (PBE-GGA) of KMgGa2Pd after structural relaxation.

Values from the calculation:
Density of states at the Fermi level ... 2.59 states/eV per cell
Total moment ... 0.0 μB per cell
Calculated density ... 4.1 g cm⁻³

Cell: 4.941 4.941 5.123 Å, 90.00 90.00 90.00°
Positions (direct):
1 Pd 0.000 0.000 0.000
2 K 0.500 0.500 0.500
3 Mg 0.000 0.000 0.500
4 Ga 0.000 0.500 0.000
5 Ga 0.500 0.000 0.000

---

Which one sits at the bottom of the stability order? P does.